[1]
IrBr2N: optimized geometry, GGA-PBE.

The value obtained for the formation energy from raw total energies is 1.7160 eV/atom. The calculation puts the energy above the lowest structure with this stoichiometry at 1332 meV/atom. The symmetry is R-3m, No. 166.

abc: 8.167 8.167 8.167
angles: 22.52 22.52 22.52
Element x y z (fractional)
Ir: 0.000 0.000 0.000
Br: 0.100 0.100 0.100
Br: 0.900 0.900 0.900
N: 0.500 0.500 0.500

[2]
Ac3Y: optimized geometry, GGA-PBE.

The symmetry is Imm2, No. 44. The uncorrected energy comes out at -4.642 eV/atom.

abc: 7.410 7.410 7.410
angles: 149.10 63.65 125.86
Element x y z (fractional)
Ac: 0.000 0.000 0.000
Ac: 0.415 0.659 0.756
Ac: 0.903 0.659 0.244
Y: 0.497 0.997 0.500

[3]
Dy2Cu2Ge3: optimized geometry, GGA-PBE.

The symmetry is Cmcm, No. 63. The uncorrected energy comes out at -5.090 eV/atom.

abc: 9.279 9.279 6.731
angles: 90.00 90.00 153.54
Element x y z (fractional)
Dy: 0.051 0.949 0.750
Dy: 0.157 0.843 0.250
Dy: 0.843 0.157 0.750
Dy: 0.949 0.051 0.250
Cu: 0.307 0.693 0.060
Cu: 0.307 0.693 0.440
Cu: 0.693 0.307 0.560
Cu: 0.693 0.307 0.940
Ge: 0.222 0.778 0.750
Ge: 0.435 0.565 0.561
Ge: 0.435 0.565 0.939
Ge: 0.565 0.435 0.061
Ge: 0.565 0.435 0.439
Ge: 0.778 0.222 0.250

[4]
Sr2NiW: optimized geometry, GGA-PBE.

The calculation puts the energy above the lowest structure with this stoichiometry at 60 meV/atom. The symmetry is Immm, No. 71.

abc: 9.389 9.389 9.389
angles: 159.02 157.50 30.95
Element x y z (fractional)
Sr: 0.149 0.149 0.000
Sr: 0.851 0.851 0.000
Ni: 0.000 0.500 0.500
W: 0.500 0.000 0.500

[5]
Mg3C: optimized geometry, GGA-PBE.

The calculation puts the energy above the lowest structure with this stoichiometry at 194 meV/atom. The symmetry is Immm, No. 71.

abc: 6.484 6.484 6.484
angles: 154.41 145.74 43.25
Element x y z (fractional)
Mg: 0.000 0.000 0.000
Mg: 0.334 0.834 0.500
Mg: 0.666 0.166 0.500
C: 0.500 0.500 0.000

[6]
ScTaMo: optimized geometry, GGA-PBE.

The calculation puts the energy above the lowest structure with this stoichiometry at 9 meV/atom. The symmetry is C2/m, No. 12.

abc: 5.493 5.493 5.837
angles: 120.23 120.23 49.87
Element x y z (fractional)
Sc: 0.174 0.174 0.089
Sc: 0.826 0.826 0.911
Ta: 0.466 0.466 0.723
Ta: 0.534 0.534 0.277
Mo: 0.148 0.148 0.558
Mo: 0.852 0.852 0.442